This record from Alexandria describes a relaxed structure of MgBe2Cl6. The functional is PBE-GGA.

Unit cell a=8.0928 b=8.0928 c=6.2227 alpha=101.09 beta=101.09 gamma=84.82
With the nearest neighbours (Å) after each atom.
Fractional coordinates of all 18 atoms:
Mg 0.1231 0.8769 0.7500  4 Cl 2.44-2.50
Mg 0.8769 0.1231 0.2500  4 Cl 2.44-2.50
Be 0.2205 0.3793 0.7108  4 Cl 2.01-2.08
Be 0.3793 0.2205 0.2108  4 Cl 2.01-2.08
Be 0.6207 0.7795 0.7892  4 Cl 2.01-2.08
Be 0.7795 0.6207 0.2892  4 Cl 2.01-2.08
Cl 0.0427 0.1963 0.6346  1 Be 2.08
Cl 0.1269 0.6024 0.8580  1 Be 2.01
Cl 0.1963 0.0427 0.1346  1 Be 2.08
Cl 0.2964 0.4176 0.4309  2 Be 2.04-2.05
Cl 0.3976 0.8731 0.6420  1 Be 2.01
Cl 0.4176 0.2964 0.9309  2 Be 2.04-2.05
Cl 0.5824 0.7036 0.0691  2 Be 2.04-2.05
Cl 0.6024 0.1269 0.3580  1 Be 2.01
Cl 0.7036 0.5824 0.5691  2 Be 2.04-2.05
Cl 0.8037 0.9573 0.8654  1 Be 2.08
Cl 0.8731 0.3976 0.1420  1 Be 2.01
Cl 0.9573 0.8037 0.3654  1 Be 2.08

## Properties
E_form (uncorrected): -1.5067 eV per atom
Total magnetic moment: 0.00 μB per cell
VASP energy: -3.74 eV per atom
DOS(E_F): 0.00 states/eV/cell
Offset from the most stable computed form: 21.1 meV/atom